Compound: Ce6GaSb
Source: the Alexandria database
Functional: PBE-GGA
Structure: optimized geometry

D(E_F)	2.756	states/eV/atom
space-group type	P4/mmm, No. 123
polymorph energy (0 for the lowest one)	0.00	eV/f.u.
uncorrected formation energy	-0.404	eV/atom
electronic total energy	-5.75	eV per atom

abc: 4.7047 4.7047 9.3637
angles: 90.00 90.00 90.00
Last column: nearest neighbours and their distance in Å.
Atoms (fractional coordinates):
Ce1 0.0000 0.5000 0.2565  8 Ce 3.28-3.36, 2 Ga 3.28, 2 Sb 3.36
Ce2 0.5000 0.0000 0.2565  8 Ce 3.28-3.36, 2 Ga 3.28, 2 Sb 3.36
Ce3 0.0000 0.5000 0.7435  8 Ce 3.28-3.36, 2 Ga 3.28, 2 Sb 3.36
Ga1 0.0000 0.0000 0.5000  12 Ce 3.28-3.33
Ce4 0.5000 0.5000 0.5000  8 Ce 3.28, 4 Ga 3.33
Ce5 0.5000 0.5000 0.0000  4 Sb 3.33, 8 Ce 3.36
Sb1 0.0000 0.0000 0.0000  12 Ce 3.33-3.36
Ce6 0.5000 0.0000 0.7435  8 Ce 3.28-3.36, 2 Ga 3.28, 2 Sb 3.36

---

Compound: Ce5Ga2Sb
Source: the Alexandria database
Functional: PBE-GGA
Structure: optimized geometry

D(E_F)	3.097	states/eV/atom
space-group type	I4/mcm, No. 140
uncorrected formation energy	-0.506	eV/atom
electronic total energy	-5.49	eV per atom

abc: 8.1744 8.1744 8.6146
angles: 118.32 118.32 90.00
Last column: nearest neighbours and their distance in Å.
Atoms (fractional coordinates):
Ce1 0.6691 0.1691 0.6893  1 Ce 2.97, 3 Ga 3.08-3.16, 2 Sb 3.25
Ce2 0.4798 0.3309 0.3107  1 Ce 2.97, 3 Ga 3.08-3.16, 2 Sb 3.25
Ce3 0.1691 0.0202 0.6893  1 Ce 2.97, 3 Ga 3.08-3.16, 2 Sb 3.25
Ga1 0.1203 0.3797 0.0000  1 Ga 2.78, 2 Ce 3.08
Ce4 0.0202 0.5202 0.6893  1 Ce 2.97, 3 Ga 3.08-3.16, 2 Sb 3.25
Ce5 0.0000 0.0000 0.0000  2 Sb 3.19, 4 Ga 3.26
Ce6 0.5000 0.5000 0.0000  2 Sb 3.19, 4 Ga 3.26
Sb1 0.2500 0.2500 0.5000  10 Ce 3.19-3.25
Sb2 0.7500 0.7500 0.5000  10 Ce 3.19-3.25
Ga2 0.8797 0.6203 0.0000  1 Ga 2.78, 2 Ce 3.08
Ga3 0.6203 0.1203 0.0000  1 Ga 2.78, 2 Ce 3.08
Ce7 0.9798 0.4798 0.3107  1 Ce 2.97, 3 Ga 3.08-3.16, 2 Sb 3.25
Ga4 0.3797 0.8797 0.0000  1 Ga 2.78, 2 Ce 3.08
Ce8 0.3309 0.8309 0.3107  1 Ce 2.97, 3 Ga 3.08-3.16, 2 Sb 3.25
Ce9 0.5202 0.6691 0.6893  1 Ce 2.97, 3 Ga 3.08-3.16, 2 Sb 3.25
Ce10 0.8309 0.9798 0.3107  1 Ce 2.97, 3 Ga 3.08-3.16, 2 Sb 3.25

---

Compound: Ce2GaSb
Source: the Alexandria database
Functional: PBE-GGA
Structure: optimized geometry

D(E_F)	2.140	states/eV/atom
space-group type	P4/mmm, No. 123
polymorph energy (0 for the lowest one)	0.11	eV/f.u.
uncorrected formation energy	-0.668	eV/atom
electronic total energy	-5.42	eV per atom

abc: 4.0446 4.0446 6.2654
angles: 90.00 90.00 90.00
Last column: nearest neighbours and their distance in Å.
Atoms (fractional coordinates):
Ce1 0.0000 0.0000 0.2263  1 Ce 2.84
Sb1 0.5000 0.5000 0.5000  2 Ga 3.13, 8 Ce 3.33
Ga1 0.5000 0.5000 0.0000  2 Sb 3.13, 8 Ce 3.19
Ce2 0.0000 0.0000 0.7737  1 Ce 2.84